(1)
CaHgPb | PBE | optimized geometry

CIF file:
```
data_CaHgPb
_space_group_name_H-M_alt 'I 4 m m'
_space_group_IT_number 107
_space_group_name_Hall 'I 4 -2'
_cell_length_a 3.8255
_cell_length_b 3.8255
_cell_length_c 11.7656
_cell_angle_alpha 90.00
_cell_angle_beta 90.00
_cell_angle_gamma 90.00
loop_
_atom_site_label
_atom_site_type_symbol
_atom_site_fract_x
_atom_site_fract_y
_atom_site_fract_z
Ca1 Ca 0.0000 0.0000 0.0000
Hg1 Hg 0.0000 0.0000 0.6504
Pb1 Pb 0.0000 0.0000 0.3106
```

Output
formation enthalpy at 0 K: -0.380 eV/atom
N(E_F): 0.7 states/eV/f.u.
E: -2.38 eV per atom


(2)
ThIn2Bi | PBE | optimized geometry

CIF file:
```
data_ThIn2Bi
_space_group_name_H-M_alt 'P 4/m m m'
_space_group_IT_number 123
_space_group_name_Hall '-P 4 2'
_cell_length_a 4.7403
_cell_length_b 4.7403
_cell_length_c 4.9839
_cell_angle_alpha 90.00
_cell_angle_beta 90.00
_cell_angle_gamma 90.00
loop_
_atom_site_label
_atom_site_type_symbol
_atom_site_fract_x
_atom_site_fract_y
_atom_site_fract_z
Th1 Th 0.0000 0.0000 0.0000
In1 In 0.0000 0.5000 0.5000
Bi1 Bi 0.5000 0.5000 0.0000
```

Output
relative energy among the computed polymorphs: 0 meV per atom
formation enthalpy at 0 K: -0.342 eV/atom
N(E_F): 2.5 states/eV/f.u.
E: -4.54 eV per atom


(3)
Ba3TaN4 | PBE | optimized geometry

CIF file:
```
data_Ba3TaN4
_space_group_name_H-M_alt 'P n m a'
_space_group_IT_number 62
_cell_length_a 8.4706
_cell_length_b 9.0080
_cell_length_c 8.9313
_cell_angle_alpha 90.00
_cell_angle_beta 90.00
_cell_angle_gamma 90.00
loop_
_space_group_symop_operation_xyz
'x,y,z'
'-x,-y,-z'
'-x+1/2,-y,z+1/2'
'x+1/2,y,-z+1/2'
'x+1/2,-y+1/2,-z+1/2'
'-x+1/2,y+1/2,z+1/2'
'-x,y+1/2,-z'
'x,-y+1/2,z'
loop_
_atom_site_label
_atom_site_type_symbol
_atom_site_fract_x
_atom_site_fract_y
_atom_site_fract_z
Ba1 Ba 0.0283 0.0272 0.2287
Ba2 Ba 0.1950 0.7500 0.4793
Ta1 Ta 0.2271 0.7500 0.9914
N1 N 0.0075 0.7500 0.0588
N2 N 0.1779 0.0602 0.5523
N3 N 0.2270 0.7500 0.7717
```

Output
N(E_F): 3.7 states/eV/f.u.
E: -7.13 eV per atom


(4)
Pm2Ho3Tl2 | PBE | optimized geometry

CIF file:
```
data_Pm2Ho3Tl2
_space_group_name_H-M_alt 'C 1 2/m 1'
_space_group_IT_number 12
_cell_length_a 9.4235
_cell_length_b 5.4518
_cell_length_c 8.7270
_cell_angle_alpha 90.00
_cell_angle_beta 111.17
_cell_angle_gamma 90.00
loop_
_space_group_symop_operation_xyz
'x,y,z'
'-x,-y,-z'
'-x,y,-z'
'x,-y,z'
'x+1/2,y+1/2,z'
'-x+1/2,-y+1/2,-z'
'-x+1/2,y+1/2,-z'
'x+1/2,-y+1/2,z'
loop_
_atom_site_label
_atom_site_type_symbol
_atom_site_fract_x
_atom_site_fract_y
_atom_site_fract_z
Pm1 Pm 0.0760 0.0000 0.2278
Ho1 Ho 0.0000 0.5000 0.5000
Ho2 Ho 0.1535 0.5000 0.9600
Tl1 Tl 0.2173 0.0000 0.6513
```

Output
formation enthalpy at 0 K: -0.198 eV/atom
N(E_F): 6.5 states/eV/f.u.
E: -4.19 eV per atom


(5)
TlNiAu3 | PBE | optimized geometry

CIF file:
```
data_TlNiAu3
_space_group_name_H-M_alt 'P m -3 m'
_space_group_IT_number 221
_space_group_name_Hall '-P 4 2 3'
_cell_length_a 5.2528
_cell_length_b 5.2528
_cell_length_c 5.2528
_cell_angle_alpha 90.00
_cell_angle_beta 90.00
_cell_angle_gamma 90.00
loop_
_atom_site_label
_atom_site_type_symbol
_atom_site_fract_x
_atom_site_fract_y
_atom_site_fract_z
Tl1 Tl 0.0000 0.0000 0.0000
Ni1 Ni 0.5000 0.5000 0.5000
Au1 Au 0.0000 0.0000 0.5000
```

Output
relative energy among the computed polymorphs: 821 meV per atom
formation enthalpy at 0 K: 1.224 eV/atom
N(E_F): 12.8 states/eV/f.u.
E: -2.37 eV per atom


(6)
La2MgAl3Zn4 | PBE | optimized geometry

CIF file:
```
data_La2MgAl3Zn4
_space_group_name_H-M_alt 'P -4 m 2'
_space_group_IT_number 115
_cell_length_a 4.3863
_cell_length_b 4.3863
_cell_length_c 10.8748
_cell_angle_alpha 90.00
_cell_angle_beta 90.00
_cell_angle_gamma 90.00
loop_
_space_group_symop_operation_xyz
'x,y,z'
'y,-x,-z'
'-x,-y,z'
'-y,x,-z'
'-x,y,z'
'-y,-x,-z'
'x,-y,z'
'y,x,-z'
loop_
_atom_site_label
_atom_site_type_symbol
_atom_site_fract_x
_atom_site_fract_y
_atom_site_fract_z
La1 La 0.0000 0.5000 0.2372
Mg1 Mg 0.0000 0.0000 0.5000
Al1 Al 0.0000 0.5000 0.8717
Al2 Al 0.5000 0.5000 0.5000
Zn1 Zn 0.0000 0.0000 0.0000
Zn2 Zn 0.0000 0.5000 0.6411
Zn3 Zn 0.5000 0.5000 0.0000
```

Output
formation enthalpy at 0 K: -0.388 eV/atom
N(E_F): 4.6 states/eV/f.u.
E: -3.16 eV per atom


(7)
NaAc2Si2 | PBE | optimized geometry

CIF file:
```
data_NaAc2Si2
_space_group_name_H-M_alt 'C 1 2/c 1'
_space_group_IT_number 15
_cell_length_a 11.2854
_cell_length_b 6.1141
_cell_length_c 8.7291
_cell_angle_alpha 90.00
_cell_angle_beta 105.70
_cell_angle_gamma 90.00
loop_
_space_group_symop_operation_xyz
'x,y,z'
'-x,-y,-z'
'-x,y,-z+1/2'
'x,-y,z+1/2'
'x+1/2,y+1/2,z'
'-x+1/2,-y+1/2,-z'
'-x+1/2,y+1/2,-z+1/2'
'x+1/2,-y+1/2,z+1/2'
loop_
_atom_site_label
_atom_site_type_symbol
_atom_site_fract_x
_atom_site_fract_y
_atom_site_fract_z
Na1 Na 0.0000 0.1403 0.2500
Ac1 Ac 0.1446 0.3363 0.6438
Si1 Si 0.1557 0.1592 0.0020
```

Output
relative energy among the computed polymorphs: 53 meV per atom
N(E_F): 2.5 states/eV/f.u.
E: -4.45 eV per atom


(8)
PmEr2Al | PBE | optimized geometry

CIF file:
```
data_PmEr2Al
_space_group_name_H-M_alt 'F m -3 m'
_space_group_IT_number 225
_space_group_name_Hall '-F 4 2 3'
_cell_length_a 7.5753
_cell_length_b 7.5753
_cell_length_c 7.5753
_cell_angle_alpha 90.00
_cell_angle_beta 90.00
_cell_angle_gamma 90.00
loop_
_atom_site_label
_atom_site_type_symbol
_atom_site_fract_x
_atom_site_fract_y
_atom_site_fract_z
Pm1 Pm 0.0000 0.0000 0.0000
Er1 Er 0.2500 0.2500 0.2500
Al1 Al 0.0000 0.0000 0.5000
```

Output
relative energy among the computed polymorphs: 202 meV per atom
formation enthalpy at 0 K: 0.002 eV/atom
N(E_F): 6.1 states/eV/f.u.
E: -4.40 eV per atom


(9)
Ti2SbO | PBE | optimized geometry

CIF file:
```
data_Ti2SbO
_space_group_name_H-M_alt 'I -4 2 d'
_space_group_IT_number 122
_space_group_name_Hall 'I -4 2bw'
_cell_length_a 5.2217
_cell_length_b 5.2217
_cell_length_c 11.0525
_cell_angle_alpha 90.00
_cell_angle_beta 90.00
_cell_angle_gamma 90.00
loop_
_atom_site_label
_atom_site_type_symbol
_atom_site_fract_x
_atom_site_fract_y
_atom_site_fract_z
Ti1 Ti 0.1103 0.2500 0.1250
Sb1 Sb 0.0000 0.0000 0.5000
O1 O 0.0000 0.0000 0.0000
```

Output
relative energy among the computed polymorphs: 115 meV per atom
N(E_F): 4.3 states/eV/f.u.
E: -7.37 eV per atom


(10)
Tb7PrNd4 | PBE | optimized geometry

CIF file:
```
data_Tb7PrNd4
_space_group_name_H-M_alt 'C 1 2/m 1'
_space_group_IT_number 12
_cell_length_a 12.1954
_cell_length_b 5.9850
_cell_length_c 12.8698
_cell_angle_alpha 90.00
_cell_angle_beta 118.02
_cell_angle_gamma 90.00
loop_
_space_group_symop_operation_xyz
'x,y,z'
'-x,-y,-z'
'-x,y,-z'
'x,-y,z'
'x+1/2,y+1/2,z'
'-x+1/2,-y+1/2,-z'
'-x+1/2,y+1/2,-z'
'x+1/2,-y+1/2,z'
loop_
_atom_site_label
_atom_site_type_symbol
_atom_site_fract_x
_atom_site_fract_y
_atom_site_fract_z
Tb1 Tb 0.0000 0.0000 0.0000
Tb2 Tb 0.0658 0.5000 0.3214
Tb3 Tb 0.1318 0.0000 0.4981
Tb4 Tb 0.2107 0.5000 0.9225
Pr1 Pr 0.0000 0.5000 0.0000
Nd1 Nd 0.1350 0.0000 0.7766
Nd2 Nd 0.2332 0.5000 0.6731
```

Output
relative energy among the computed polymorphs: 163 meV per atom
formation enthalpy at 0 K: 0.246 eV/atom
N(E_F): 19.3 states/eV/f.u.
E: -4.44 eV per atom


(11)
HoHfPSe | PBE | optimized geometry

CIF file:
```
data_HoHfPSe
_space_group_name_H-M_alt 'R 3 m'
_space_group_IT_number 160
_space_group_name_Hall 'R 3 -2"'
_cell_length_a 3.7904
_cell_length_b 3.7904
_cell_length_c 20.2124
_cell_angle_alpha 90.00
_cell_angle_beta 90.00
_cell_angle_gamma 120.00
loop_
_atom_site_label
_atom_site_type_symbol
_atom_site_fract_x
_atom_site_fract_y
_atom_site_fract_z
Ho1 Ho 0.0000 0.0000 0.0000
Hf1 Hf 0.0000 0.0000 0.1884
P1 P 0.0000 0.0000 0.5876
Se1 Se 0.0000 0.0000 0.7671
```

Output
N(E_F): 1.2 states/eV/f.u.
E: -7.31 eV per atom


(12)
KTcOs2 | PBE | optimized geometry

CIF file:
```
data_KTcOs2
_space_group_name_H-M_alt 'P 4 m m'
_space_group_IT_number 99
_cell_length_a 2.7520
_cell_length_b 2.7520
_cell_length_c 9.6654
_cell_angle_alpha 90.00
_cell_angle_beta 90.00
_cell_angle_gamma 90.00
loop_
_space_group_symop_operation_xyz
'x,y,z'
'-y,x,z'
'-x,-y,z'
'y,-x,z'
'-x,y,z'
'y,x,z'
'x,-y,z'
'-y,-x,z'
loop_
_atom_site_label
_atom_site_type_symbol
_atom_site_fract_x
_atom_site_fract_y
_atom_site_fract_z
K1 K 0.0000 0.0000 0.0000
Tc1 Tc 0.5000 0.5000 0.6825
Os1 Os 0.0000 0.0000 0.4816
Os2 Os 0.5000 0.5000 0.2968
```

Output
relative energy among the computed polymorphs: 173 meV per atom
formation enthalpy at 0 K: 0.860 eV/atom
N(E_F): 5.9 states/eV/f.u.
E: -7.62 eV per atom


- Among the records above, which one has the highest N(E_F)?
  Tb7PrNd4


- E of number 3 (Ba3TaN4)?
  -7.13 eV per atom